! TmTl2AgBr6 (PBE, optimized geometry); values from VASP
! - Formation energy without anion corrections: -11.6 eV/f.u.
! - Density: 5.832 g/cm³
! - Calculated volume: 33.17 Å³/atom
! - Symmetry: P2_1/c, No. 14
&SYSTEM
  ibrav = 0, nat = 20, ntyp = 4
/
ATOMIC_SPECIES
Tm 168.93 Tm.upf
Tl 204.38 Tl.upf
Ag 107.87 Ag.upf
Br 79.90 Br.upf
CELL_PARAMETERS angstrom
7.633 0.000 0.018
0.000 8.042 0.000
0.093 0.000 10.809
ATOMIC_POSITIONS crystal
Tm 0.500 0.000 0.500
Tm 0.000 0.500 0.000
Tl 0.025 0.922 0.253
Tl 0.525 0.578 0.753
Tl 0.975 0.078 0.747
Tl 0.475 0.422 0.247
Ag 0.500 0.000 0.000
Ag 0.000 0.500 0.500
Br 0.296 0.690 0.046
Br 0.796 0.810 0.546
Br 0.704 0.310 0.954
Br 0.204 0.190 0.454
Br 0.313 0.710 0.454
Br 0.813 0.790 0.954
Br 0.687 0.290 0.546
Br 0.187 0.210 0.046
Br 0.903 0.519 0.248
Br 0.403 0.981 0.748
Br 0.097 0.481 0.752
Br 0.597 0.019 0.252